{
  "formula": "CaTb8Er6",
  "functional": "PBE-GGA",
  "state": "optimized geometry",
  "lattice_angstrom": [[7.612, -0.298, 2.854], [1.876, 7.383, 2.854], [-0.398, -0.298, 8.119]],
  "species": ["Ca", "Tb", "Tb", "Tb", "Tb", "Tb", "Tb", "Tb", "Tb", "Er", "Er", "Er", "Er", "Er", "Er"],
  "fractional_positions": [[0.000, 0.000, 0.000], [0.135, 0.623, 0.949], [0.051, 0.865, 0.377], [0.377, 0.051, 0.865], [0.759, 0.759, 0.759], [0.241, 0.241, 0.241], [0.623, 0.949, 0.135], [0.949, 0.135, 0.623], [0.865, 0.377, 0.051], [0.177, 0.438, 0.617], [0.383, 0.823, 0.562], [0.562, 0.383, 0.823], [0.438, 0.617, 0.177], [0.617, 0.177, 0.438], [0.823, 0.562, 0.383]],
  "formation_energy_ev_per_atom": 0.199,
  "magnetic_moment_mub_per_fu": 0.0,
  "sg": "R-3, No. 148",
  "e_tot_ev_per_cell": -63.4
}